(1)
DFT (PBE) results for a geometry-optimized PrHo8Tm2 structure.

a = 5.461 Å, b = 8.097 Å, c = 9.308 Å
α = 115.78°, β = 107.06°, γ = 90.00°
Fractional coordinates of all 11 atoms:
1 Ho 0.360 0.566 0.719
2 Ho 0.640 0.847 0.281
3 Ho 0.000 0.704 0.000
4 Ho 0.640 0.434 0.281
5 Ho 0.164 0.164 0.328
6 Ho 0.000 0.296 0.000
7 Ho 0.836 0.836 0.672
8 Ho 0.360 0.153 0.719
9 Tm 0.801 0.301 0.601
10 Tm 0.199 0.699 0.399
11 Pr 0.500 0.000 0.000

Results
Total magnetic moment in μB/atom: 0.000
ΔE_f in eV per atom: 0.1182
N(E_F) in states/eV/cell: 15.350


(2)
DFT (PBE) results for a geometry-optimized PrHo15Tm4 structure.

a = 4.985 Å, b = 4.985 Å, c = 24.932 Å
α = 90.00°, β = 90.00°, γ = 90.00°
Fractional coordinates of all 20 atoms:
1 Ho 0.000 0.500 0.699
2 Ho 0.500 0.000 0.500
3 Ho 0.500 0.500 0.798
4 Ho 0.500 0.000 0.301
5 Ho 0.000 0.500 0.301
6 Ho 0.000 0.500 0.102
7 Ho 0.500 0.500 0.599
8 Ho 0.500 0.000 0.699
9 Ho 0.500 0.500 0.202
10 Ho 0.500 0.000 0.102
11 Ho 0.500 0.500 0.401
12 Ho 0.500 0.000 0.898
13 Ho 0.500 0.500 0.000
14 Ho 0.000 0.500 0.898
15 Ho 0.000 0.500 0.500
16 Tm 0.000 0.000 0.401
17 Tm 0.000 0.000 0.599
18 Tm 0.000 0.000 0.798
19 Tm 0.000 0.000 0.202
20 Pr 0.000 0.000 0.000

Results
Total magnetic moment in μB/atom: 0.000
ΔE_f in eV per atom: 0.0227
N(E_F) in states/eV/cell: 26.323